TbYO3, optimized geometry, DFT PBE; SG = No. 155; formation energy without anion corrections = -3364 meV/atom
1.0
-3.1211 1.7338 4.3805
1.5964 -1.2461 5.2759
2.3921 4.8209 3.4415
O Y Tb
6 2 2
Direct
0.7484 0.4577 0.7500
0.5423 0.2516 0.2500
0.2516 0.9561 0.2500
0.4577 0.0439 0.7500
0.0439 0.7484 0.7500
0.9561 0.5423 0.2500
0.3533 0.3533 0.9402
0.6467 0.6467 0.0598
0.1460 0.1460 0.5621
0.8540 0.8540 0.4379